The following is a GGA-PBE calculation of an optimized crystal structure of NdHoSc2Au4, from Alexandria.

abc: 4.8261 4.8261 26.9009
angles: 90.00 90.00 120.00
Space group R-3m (No. 166, hexagonal axes)
One atom of each set of equivalent atoms:
Nd 0.0000 0.0000 0.0000
Ho 0.0000 0.0000 0.5000
Sc 0.0000 0.0000 0.2463
Au 0.0000 0.0000 0.1170
Au 0.0000 0.0000 0.3913

Results
total energy	-124.163	eV/cell
ρ	10.90	g/cm³


The following is a GGA-PBE calculation of an optimized crystal structure of NdHoSiAu, from Alexandria.

abc: 7.2477 7.2477 7.2477
angles: 90.00 90.00 90.00
Space group F-43m (No. 216)
One atom of each set of equivalent atoms:
Nd 0.0000 0.0000 0.0000
Ho 0.0000 0.0000 0.5000
Si 0.2500 0.2500 0.7500
Au 0.2500 0.2500 0.2500

Results
total energy	-82.200	eV/cell
ρ	9.32	g/cm³
formation energy (no corrections)	-0.626	eV per atom


The following is a GGA-PBE calculation of an optimized crystal structure of NdHoSnAu, from Alexandria.

abc: 7.4883 7.4883 7.4883
angles: 90.00 90.00 90.00
Space group F-43m (No. 216)
One atom of each set of equivalent atoms:
Nd 0.0000 0.0000 0.0000
Ho 0.0000 0.0000 0.5000
Sn 0.2500 0.2500 0.2500
Au 0.2500 0.2500 0.7500

Results
total energy	-77.737	eV/cell
ρ	9.88	g/cm³


The following is a GGA-PBE calculation of an optimized crystal structure of Nd2HoTe5Au, from Alexandria.

abc: 4.3533 19.0672 13.2389
angles: 90.00 90.00 90.00
Space group Cmc2_1 (No. 36)
One atom of each set of equivalent atoms:
Nd 0.0000 0.1135 0.0000
Nd 0.0000 0.1248 0.6193
Ho 0.0000 0.1885 0.3212
Te 0.0000 0.0395 0.3885
Te 0.0000 0.2878 0.9820
Te 0.0000 0.3053 0.6514
Te 0.0000 0.3530 0.3121
Te 0.0000 0.4994 0.0925
Au 0.0000 0.4267 0.7729

Results
total energy	-175.183	eV/cell
ρ	7.79	g/cm³
formation energy (no corrections)	-1.189	eV per atom


The following is a GGA-PBE calculation of an optimized crystal structure of NdHoTm2Au4, from Alexandria.

abc: 5.0707 5.0707 25.2951
angles: 90.00 90.00 120.00
Space group R-3m (No. 166, hexagonal axes)
One atom of each set of equivalent atoms:
Nd 0.0000 0.0000 0.0000
Ho 0.0000 0.0000 0.5000
Tm 0.0000 0.0000 0.2486
Au 0.0000 0.0000 0.1279
Au 0.0000 0.0000 0.3811

Results
total energy	-114.495	eV/cell
ρ	12.69	g/cm³


The following is a GGA-PBE calculation of an optimized crystal structure of NdHoZnAu, from Alexandria.

abc: 3.6402 3.6402 7.2430
angles: 90.00 90.00 90.00
Space group P4mm (No. 99)
One atom of each set of equivalent atoms:
Nd 0.0000 0.0000 0.0000
Ho 0.0000 0.0000 0.4959
Zn 0.5000 0.5000 0.2628
Au 0.5000 0.5000 0.7194

Results
total energy	-16.201	eV/cell
energy above the lowest structure with this stoichiometry	0	meV/atom
ρ	9.89	g/cm³


The following is a GGA-PBE calculation of an optimized crystal structure of NdHoZnAu, from Alexandria.

abc: 7.2847 7.2847 7.2847
angles: 90.00 90.00 90.00
Space group F-43m (No. 216)
One atom of each set of equivalent atoms:
Nd 0.0000 0.0000 0.0000
Ho 0.0000 0.0000 0.5000
Zn 0.2500 0.2500 0.7500
Au 0.2500 0.2500 0.2500

Results
total energy	-64.442	eV/cell
energy above the lowest structure with this stoichiometry	23	meV/atom
ρ	9.82	g/cm³


The following is a GGA-PBE calculation of an optimized crystal structure of Ho6Ni2Au, from Alexandria.

abc: 9.2756 9.4831 9.8298
angles: 90.00 90.00 90.00
Space group Immm (No. 71)
One atom of each set of equivalent atoms:
Ho 0.0000 0.1914 0.2407
Ho 0.1918 0.5000 0.1728
Ho 0.2182 0.3201 0.5000
Ni 0.0000 0.3479 0.0000
Ni 0.0000 0.5000 0.3791
Au 0.0000 0.0000 0.0000
Au 0.0000 0.0000 0.5000

Results
total energy	-184.362	eV/cell
ρ	10.02	g/cm³


The following is a GGA-PBE calculation of an optimized crystal structure of Ho8Ni2Au, from Alexandria.

abc: 17.4490 5.0056 6.6408
angles: 90.00 106.37 90.00
Space group C2/m (No. 12)
One atom of each set of equivalent atoms:
Ho 0.0366 0.0000 0.2815
Ho 0.0936 0.5000 0.9681
Ho 0.1761 0.5000 0.4899
Ho 0.2017 0.0000 0.8404
Ni 0.1813 0.0000 0.2296
Au 0.0000 0.5000 0.5000

Results
total energy	-109.687	eV/cell
energy above the lowest structure with this stoichiometry	0	meV/atom
ρ	9.75	g/cm³


The following is a GGA-PBE calculation of an optimized crystal structure of HoNi2Au, from Alexandria.

abc: 4.1263 4.1263 3.7526
angles: 90.00 90.00 90.00
Space group P4/mmm (No. 123)
One atom of each set of equivalent atoms:
Ho 0.0000 0.0000 0.0000
Ni 0.0000 0.5000 0.5000
Au 0.5000 0.5000 0.0000

Results
total energy	-21.088	eV/cell
ρ	12.46	g/cm³


The following is a GGA-PBE calculation of an optimized crystal structure of HoNi4Au, from Alexandria.

abc: 6.9666 6.9666 6.9666
angles: 90.00 90.00 90.00
Space group F-43m (No. 216)
One atom of each set of equivalent atoms:
Ho 0.0000 0.0000 0.0000
Ni 0.1245 0.1245 0.3755
Au 0.2500 0.2500 0.7500

Results
total energy	-133.349	eV/cell
ρ	11.72	g/cm³


The following is a GGA-PBE calculation of an optimized crystal structure of Ho8NiAu2, from Alexandria.

abc: 17.3293 5.0777 6.7247
angles: 90.00 104.28 90.00
Space group C2/m (No. 12)
One atom of each set of equivalent atoms:
Ho 0.0285 0.0000 0.2835
Ho 0.0887 0.5000 0.9392
Ho 0.1579 0.5000 0.4688
Ho 0.2043 0.0000 0.8180
Ni 0.0000 0.5000 0.5000
Au 0.1897 0.0000 0.2321

Results
total energy	-106.360	eV/cell
ρ	10.26	g/cm³


The following is a GGA-PBE calculation of an optimized crystal structure of HoNiAu, from Alexandria.

abc: 6.2689 6.2689 6.2689
angles: 90.00 90.00 90.00
Space group F-43m (No. 216)
One atom of each set of equivalent atoms:
Ho 0.0000 0.0000 0.0000
Ni 0.2500 0.2500 0.7500
Au 0.0000 0.0000 0.5000

Results
total energy	-60.266	eV/cell
ρ	11.34	g/cm³


The following is a GGA-PBE calculation of an optimized crystal structure of Ho12Ni6Au, from Alexandria.

abc: 9.5708 9.5708 9.5708
angles: 90.00 90.00 90.00
Space group Im-3 (No. 204)
One atom of each set of equivalent atoms:
Ho 0.0000 0.3002 0.1855
Ni 0.0000 0.1254 0.5000
Au 0.0000 0.0000 0.0000

Results
total energy	-200.352	eV/cell
energy above the lowest structure with this stoichiometry	0	meV/atom
ρ	9.58	g/cm³


The following is a GGA-PBE calculation of an optimized crystal structure of Ho3Ni7Au2, from Alexandria.

abc: 5.1028 5.1028 25.0493
angles: 90.00 90.00 120.00
Space group R-3m (No. 166, hexagonal axes)
One atom of each set of equivalent atoms:
Ho 0.0000 0.0000 0.0000
Ho 0.0000 0.0000 0.1398
Ni 0.0000 0.0000 0.5000
Ni 0.0029 0.5015 0.9116
Au 0.0000 0.0000 0.3337

Results
total energy	-198.855	eV/cell
ρ	11.46	g/cm³


The following is a GGA-PBE calculation of an optimized crystal structure of Ho2Ni2Au, from Alexandria.

abc: 7.2044 7.2044 3.6228
angles: 90.00 90.00 90.00
Space group P4/mbm (No. 127)
One atom of each set of equivalent atoms:
Ho 0.1781 0.3219 0.0000
Ni 0.1195 0.6195 0.5000
Au 0.0000 0.0000 0.5000

Results
total energy	-54.036	eV/cell
energy above the lowest structure with this stoichiometry	26	meV/atom
ρ	11.38	g/cm³


The following is a GGA-PBE calculation of an optimized crystal structure of Ho3NiAu, from Alexandria.

abc: 7.9829 3.9265 8.1194
angles: 90.00 109.09 90.00
Space group P2_1/m (No. 11)
One atom of each set of equivalent atoms:
Ho 0.0559 0.2500 0.2359
Ho 0.3158 0.2500 0.9549
Ho 0.3382 0.7500 0.5983
Ni 0.0695 0.2500 0.5865
Au 0.3492 0.7500 0.2293

Results
total energy	-50.900	eV/cell
ρ	10.36	g/cm³


The following is a GGA-PBE calculation of an optimized crystal structure of HoNi2Au, from Alexandria.

abc: 6.3596 6.3596 6.3596
angles: 90.00 90.00 90.00
Space group Fm-3m (No. 225)
One atom of each set of equivalent atoms:
Ho 0.0000 0.0000 0.0000
Ni 0.2500 0.2500 0.2500
Au 0.0000 0.0000 0.5000

Results
total energy	-83.512	eV/cell
ρ	12.38	g/cm³


The following is a GGA-PBE calculation of an optimized crystal structure of Ho8Ni2Au, from Alexandria.

abc: 8.3040 12.8591 5.5871
angles: 90.00 106.22 90.00
Space group Cm (No. 8)
One atom of each set of equivalent atoms:
Ho 0.0000 0.0000 0.0000
Ho 0.0828 0.3707 0.7780
Ho 0.1677 0.1296 0.6003
Ho 0.2514 0.5000 0.3723
Ho 0.3750 0.2318 0.1860
Ni 0.3760 0.3026 0.6867
Au 0.3775 0.0000 0.0960

Results
total energy	-107.673	eV/cell
energy above the lowest structure with this stoichiometry	92	meV/atom
ρ	9.47	g/cm³


The following is a GGA-PBE calculation of an optimized crystal structure of Ho12Ni6Au, from Alexandria.

abc: 12.7483 12.7483 10.4350
angles: 90.00 90.00 120.00
Space group R-3 (No. 148, hexagonal axes)
One atom of each set of equivalent atoms:
Ho 0.0320 0.2087 0.3803
Ho 0.0347 0.2195 0.8873
Ni 0.0446 0.2585 0.6418
Au 0.0000 0.0000 0.0000

Results
total energy	-291.356	eV/cell
energy above the lowest structure with this stoichiometry	161	meV/atom
ρ	8.58	g/cm³